(1)
The following is a DFT calculation (PBE-GGA) of a relaxed Re2RuPt crystal.

Computed properties:
raw total energy: -9.46 eV per atom
formation energy from the elements: 0.59 eV per atom
crystal system: tetragonal
energy above the most stable polymorph in this dataset: 719.0 meV/atom

Unit cell a=3.796 b=3.796 c=18.087 alpha=90.00 beta=90.00 gamma=90.00
Fractional positions:
Re 0.225 0.250 0.125
Re 0.250 0.725 0.375
Re 0.250 0.775 0.875
Re 0.275 0.250 0.625
Re 0.725 0.750 0.625
Re 0.750 0.225 0.875
Re 0.750 0.275 0.375
Re 0.775 0.750 0.125
Ru 0.000 0.000 0.000
Ru 0.000 0.500 0.250
Ru 0.500 0.000 0.750
Ru 0.500 0.500 0.500
Pt 0.000 0.000 0.500
Pt 0.000 0.500 0.750
Pt 0.500 0.000 0.250
Pt 0.500 0.500 0.000

***

(2)
The following is a DFT calculation (PBE-GGA) of a relaxed BeIn crystal.

Computed properties:
raw total energy: -2.85 eV per atom
formation energy from the elements: 0.38 eV per atom
crystal system: monoclinic
energy above the most stable polymorph in this dataset: 96.1 meV/atom

Unit cell a=12.104 b=3.008 c=6.135 alpha=90.00 beta=107.23 gamma=90.00
Fractional positions:
Be 0.000 0.000 0.000
Be 0.039 0.500 0.268
Be 0.397 0.500 0.248
Be 0.500 0.500 0.000
Be 0.539 0.000 0.268
Be 0.897 0.000 0.248
In 0.020 0.500 0.666
In 0.226 0.000 0.319
In 0.292 0.000 0.854
In 0.520 0.000 0.666
In 0.726 0.500 0.319
In 0.792 0.500 0.854

***

(3)
The following is a DFT calculation (PBE-GGA) of a relaxed SnS2Cl crystal.

Computed properties:
raw total energy: -3.65 eV per atom
crystal system: trigonal
energy above the most stable polymorph in this dataset: 0.0 meV/atom
uncorrected formation energy: -0.124 eV per atom

Unit cell a=3.839 b=3.839 c=23.653 alpha=90.00 beta=90.00 gamma=120.00
Fractional positions:
Sn 0.000 0.000 0.000
Sn 0.333 0.667 0.667
Sn 0.667 0.333 0.333
S 0.000 0.000 0.398
S 0.000 0.000 0.602
S 0.333 0.667 0.065
S 0.333 0.667 0.269
S 0.667 0.333 0.731
S 0.667 0.333 0.935
Cl 0.000 0.000 0.500
Cl 0.333 0.667 0.167
Cl 0.667 0.333 0.833

***

(4)
The following is a DFT calculation (PBE-GGA) of a relaxed PuAlCuAg crystal.

Computed properties:
raw total energy: -6.23 eV per atom
formation energy from the elements: 0.03 eV per atom
crystal system: cubic

Unit cell a=6.762 b=6.762 c=6.762 alpha=90.00 beta=90.00 gamma=90.00
Fractional positions:
Pu 0.000 0.000 0.000
Pu 0.000 0.500 0.500
Pu 0.500 0.000 0.500
Pu 0.500 0.500 0.000
Al 0.000 0.000 0.500
Al 0.000 0.500 0.000
Al 0.500 0.000 0.000
Al 0.500 0.500 0.500
Cu 0.250 0.250 0.250
Cu 0.250 0.750 0.750
Cu 0.750 0.250 0.750
Cu 0.750 0.750 0.250
Ag 0.250 0.250 0.750
Ag 0.250 0.750 0.250
Ag 0.750 0.250 0.250
Ag 0.750 0.750 0.750

***

(5)
The following is a DFT calculation (PBE-GGA) of a relaxed PrYPb2 crystal.

Computed properties:
raw total energy: -5.06 eV per atom
formation energy from the elements: -0.39 eV per atom
crystal system: trigonal

Unit cell a=4.134 b=4.134 c=26.298 alpha=90.00 beta=90.00 gamma=120.00
Fractional positions:
Pr 0.000 0.000 0.000
Pr 0.333 0.667 0.667
Pr 0.667 0.333 0.333
Y 0.000 0.000 0.500
Y 0.333 0.667 0.167
Y 0.667 0.333 0.833
Pb 0.000 0.000 0.247
Pb 0.000 0.000 0.753
Pb 0.333 0.667 0.419
Pb 0.333 0.667 0.914
Pb 0.667 0.333 0.086
Pb 0.667 0.333 0.581

***

(6)
The following is a DFT calculation (PBE-GGA) of a relaxed GaCuSn2S crystal.

Computed properties:
raw total energy: -3.41 eV per atom
crystal system: tetragonal
uncorrected formation energy: 0.442 eV per atom

Unit cell a=5.321 b=5.321 c=4.486 alpha=90.00 beta=90.00 gamma=90.00
Fractional positions:
Ga 0.000 0.000 0.000
Cu 0.000 0.000 0.500
Sn 0.000 0.500 0.000
Sn 0.500 0.000 0.000
S 0.500 0.500 0.500